The following is a DFT calculation (PBE) of a relaxed LiPr4AlZn2 crystal.

```
LiPr4AlZn2
1.0
2.6475 1.5285 8.6681
-2.6475 1.5285 8.6681
0.0000 -3.0571 8.6681
Li Pr Al Zn
1 4 1 2
direct
0.0000 0.0000 0.0000
0.1260 0.1260 0.1260
0.3766 0.3766 0.3766
0.6234 0.6234 0.6234
0.8740 0.8740 0.8740
0.5000 0.5000 0.5000
0.2531 0.2531 0.2531
0.7469 0.7469 0.7469
```

Output
The crystal system is trigonal. Its formation enthalpy at 0 K is -0.223 eV per atom. The total magnetization is 0.00 μB/f.u.